! Zr3HPb | Alexandria | GGA-PBE | optimized geometry; values from VASP
&SYSTEM
  ibrav = 0, nat = 10, ntyp = 3
/
ATOMIC_SPECIES
Zr 91.22 Zr.upf
H 1.01 H.upf
Pb 207.20 Pb.upf
CELL_PARAMETERS angstrom
5.114 0.000 0.000
0.000 5.114 0.000
2.557 2.557 11.037
ATOMIC_POSITIONS angstrom
Zr 1.297 5.114 2.805
H 5.114 2.557 3.368
Zr 3.817 5.114 2.805
Pb 0.000 0.000 0.000
Zr 2.557 6.375 8.232
Pb 2.557 5.114 5.518
Zr 5.114 5.114 6.872
Zr 2.557 3.854 8.232
H 5.114 2.557 7.669
Zr 2.557 2.557 4.165
! energy above the lowest structure with this stoichiometry	1200.9	meV/atom
! N(E_F)	0.5305	states/eV/atom
! space group	No. 119

=====

! Zr8HPb4 | Alexandria | GGA-PBE | optimized geometry; values from VASP
&SYSTEM
  ibrav = 0, nat = 13, ntyp = 3
/
ATOMIC_SPECIES
Zr 91.22 Zr.upf
Pb 207.20 Pb.upf
H 1.01 H.upf
CELL_PARAMETERS angstrom
-0.155 -4.282 -2.128
3.963 -0.133 -0.021
-0.148 -6.579 13.248
ATOMIC_POSITIONS angstrom
Zr 1.893 -2.705 -0.072
Zr 1.844 -6.151 12.242
Zr -0.113 -3.734 2.142
Pb -0.014 -0.623 1.255
Zr -0.064 -2.835 5.709
Zr -0.163 -5.938 6.581
Pb 1.893 -4.005 7.920
Zr 1.794 -7.107 8.791
Pb -0.212 -8.089 10.912
Zr -0.113 -4.988 10.043
Pb 1.844 -4.863 4.271
Zr 1.944 -1.751 3.382
H -0.043 -1.923 3.873
! N(E_F)	0.8039	states/eV/atom
! final energy	-6.89	eV per atom
! space group	No. 25

=====

Copy entry 2 word for word.
! Zr8HPb4 | Alexandria | GGA-PBE | optimized geometry; values from VASP
&SYSTEM
  ibrav = 0, nat = 13, ntyp = 3
/
ATOMIC_SPECIES
Zr 91.22 Zr.upf
Pb 207.20 Pb.upf
H 1.01 H.upf
CELL_PARAMETERS angstrom
-0.155 -4.282 -2.128
3.963 -0.133 -0.021
-0.148 -6.579 13.248
ATOMIC_POSITIONS angstrom
Zr 1.893 -2.705 -0.072
Zr 1.844 -6.151 12.242
Zr -0.113 -3.734 2.142
Pb -0.014 -0.623 1.255
Zr -0.064 -2.835 5.709
Zr -0.163 -5.938 6.581
Pb 1.893 -4.005 7.920
Zr 1.794 -7.107 8.791
Pb -0.212 -8.089 10.912
Zr -0.113 -4.988 10.043
Pb 1.844 -4.863 4.271
Zr 1.944 -1.751 3.382
H -0.043 -1.923 3.873
! N(E_F)	0.8039	states/eV/atom
! final energy	-6.89	eV per atom
! space group	No. 25

=====

Q: Among the records above, which one has the highest N(E_F)?
A: Zr8HPb4